[1]
# Zr2FeTe PBE optimized geometry
data_Zr2FeTe
_chemical_formula_sum 'Zr8 Fe4 Te4'
_symmetry_space_group_name_H-M 'P 1'
_symmetry_Int_Tables_number 1
_cell_length_a 6.7781
_cell_length_b 6.7781
_cell_length_c 6.7781
_cell_angle_alpha 90.00
_cell_angle_beta 90.00
_cell_angle_gamma 90.00
loop_
_symmetry_equiv_pos_as_xyz
'x,y,z'
loop_
_atom_site_label
_atom_site_type_symbol
_atom_site_fract_x
_atom_site_fract_y
_atom_site_fract_z
_atom_site_occupancy
Zr1 Zr 0.0000 0.0000 0.0000 1
Zr2 Zr 0.0000 0.5000 0.5000 1
Zr3 Zr 0.2500 0.2500 0.2500 1
Zr4 Zr 0.2500 0.7500 0.7500 1
Zr5 Zr 0.5000 0.0000 0.5000 1
Zr6 Zr 0.5000 0.5000 0.0000 1
Zr7 Zr 0.7500 0.2500 0.7500 1
Zr8 Zr 0.7500 0.7500 0.2500 1
Fe1 Fe 0.2500 0.2500 0.7500 1
Fe2 Fe 0.2500 0.7500 0.2500 1
Fe3 Fe 0.7500 0.2500 0.2500 1
Fe4 Fe 0.7500 0.7500 0.7500 1
Te1 Te 0.0000 0.0000 0.5000 1
Te2 Te 0.0000 0.5000 0.0000 1
Te3 Te 0.5000 0.0000 0.0000 1
Te4 Te 0.5000 0.5000 0.5000 1
# - Magnetization: 2.7 μB per formula unit
# - Calculated volume: 19.5 Å³ per atom
# - E_form (uncorrected): 201.1 meV per atom

***

[2]
# ZrFeTe4 PBE optimized geometry
data_ZrFeTe4
_chemical_formula_sum 'Zr1 Fe1 Te4'
_symmetry_space_group_name_H-M 'P 1'
_symmetry_Int_Tables_number 1
_cell_length_a 6.1669
_cell_length_b 6.1669
_cell_length_c 6.1669
_cell_angle_alpha 60.00
_cell_angle_beta 60.00
_cell_angle_gamma 60.00
loop_
_symmetry_equiv_pos_as_xyz
'x,y,z'
loop_
_atom_site_label
_atom_site_type_symbol
_atom_site_fract_x
_atom_site_fract_y
_atom_site_fract_z
_atom_site_occupancy
Zr1 Zr 0.0000 0.0000 0.0000 1
Fe1 Fe 0.7500 0.7500 0.7500 1
Te1 Te 0.3750 0.3750 0.3750 1
Te2 Te 0.3750 0.3750 0.8751 1
Te3 Te 0.3750 0.8751 0.3750 1
Te4 Te 0.8751 0.3750 0.3750 1
# - Magnetization: 2.0 μB per formula unit
# - Calculated volume: 27.6 Å³ per atom
# - E_form (uncorrected): 900.2 meV per atom

***

Question: Look up the magnetization of the second one.
Answer: 2.0 μB per formula unit